A relaxed structure of NaTl3Sb2Te6, computed with PBE.

Values from the calculation:
Uncorrected formation energy, eV per atom: -0.266
Total magnetic moment, Bohr magnetons per cell: 0.0
SG: C2/m
Calculated volume, Å³/atom: 33.28
Calculated density, g cm⁻³: 6.8

Cell and atoms, written as CIF:
```
data_NaTl3Sb2Te6
_cell_length_a 7.8731
_cell_length_b 7.8731
_cell_length_c 7.9586
_cell_angle_alpha 99.85
_cell_angle_beta 99.85
_cell_angle_gamma 120.42
_symmetry_space_group_name_H-M 'P 1'
_symmetry_Int_Tables_number 1
_symmetry_space_group_name_Hall 'P 1'
loop_
_atom_site_label
_atom_site_type_symbol
_atom_site_fract_x
_atom_site_fract_y
_atom_site_fract_z
Na1 Na 0.0000 0.0000 0.0000
Sb1 Sb 0.3297 0.6703 0.0000
Sb2 Sb 0.6703 0.3297 0.0000
Tl1 Tl 0.8407 0.1593 0.5000
Tl2 Tl 0.1593 0.8407 0.5000
Tl3 Tl 0.5000 0.5000 0.5000
Te1 Te 0.4287 0.0821 0.2342
Te2 Te 0.7297 0.7297 0.2223
Te3 Te 0.0821 0.4287 0.2342
Te4 Te 0.2703 0.2703 0.7777
Te5 Te 0.9179 0.5713 0.7658
Te6 Te 0.5713 0.9179 0.7658
```